4
Lattice="4.244 -1.569 0.000 4.244 1.569 0.000 -0.832 0.000 6.856" Properties=species:S:1:pos:R:3 comment="CaTlMo2 (PBE-GGA, relaxed)" spacegroup="Cm (8)" m_tot_mub_per_cell=0.00 vol_a3_per_cell=91 de_polymorph_mev_per_atom=267 pbc="T T T"
Ca 0.000 0.000 0.000
Tl 1.510 0.000 4.664
Mo 3.860 0.000 2.943
Mo 6.250 0.000 2.034